GeSb2TeW, relaxed, DFT PBE; formation energy from raw total energies = 834 meV/atom; Fermi-level density of states = 4.3 states/eV per cell; ΔE to the lowest computed polymorph = 0 meV per atom; final energy = -24.8 eV/cell
1.0
5.299 0.000 0.000
0.000 5.299 0.000
0.000 0.000 5.235
Sb Ge Te W
2 1 1 1
Direct
0.000 0.500 0.000
0.500 0.000 0.000
0.500 0.500 0.500
0.000 0.000 0.500
0.000 0.000 0.000



LiLa2Si3Ni4, relaxed, DFT PBE; formation energy from raw total energies = -658 meV/atom; Fermi-level density of states = 7.7 states/eV per cell; final energy = -57.7 eV/cell
1.0
-3.100 -2.014 -1.798
2.231 -0.369 -3.432
3.574 -8.383 3.225
Li La Si Ni
1 2 3 4
Direct
0.500 0.500 0.500
0.500 0.000 0.250
0.000 0.500 0.750
0.000 0.000 0.500
0.500 0.000 0.878
0.000 0.500 0.122
0.500 0.500 0.000
0.000 0.000 0.000
0.500 0.000 0.632
0.000 0.500 0.368



DyY5Er8, relaxed, DFT PBE; Fermi-level density of states = 21.5 states/eV per cell; formation energy = 0.262 eV per atom; final energy = -69.8 eV/cell
1.0
-1.474 -1.307 -8.155
-4.218 -5.505 4.722
-2.442 7.853 1.660
Dy Y Er
1 5 8
Direct
0.250 0.500 0.750
0.036 0.324 0.133
0.867 0.902 0.191
0.809 0.676 0.712
0.500 0.000 0.500
0.288 0.098 0.964
0.161 0.736 0.079
0.921 0.082 0.658
0.732 0.256 0.336
0.664 0.396 0.920
0.524 0.604 0.268
0.575 0.918 0.839
0.342 0.264 0.425
0.080 0.744 0.476



Na2Br2O7, relaxed, DFT PBE; formation energy from raw total energies = -405 meV/atom; Fermi-level density of states = 0.0 states/eV per cell; ΔE to the lowest computed polymorph = 0 meV per atom; final energy = -90.3 eV/cell
1.0
6.049 0.090 -1.680
-0.906 6.146 -1.556
-0.464 -0.333 10.594
Na Br O
4 4 14
Direct
0.348 0.731 0.463
0.297 0.689 0.989
0.703 0.311 0.011
0.652 0.269 0.537
0.258 0.234 0.183
0.220 0.172 0.698
0.780 0.828 0.302
0.742 0.766 0.817
0.955 0.699 0.398
0.124 0.405 0.106
0.402 0.374 0.347
0.069 0.038 0.174
0.565 0.878 0.893
0.407 0.090 0.617
0.376 0.368 0.846
0.624 0.632 0.154
0.593 0.910 0.383
0.435 0.122 0.107
0.931 0.962 0.826
0.598 0.626 0.653
0.876 0.595 0.894
0.045 0.301 0.602